# 1
## Li4Ir2O9 (PBE)

Data for a geometry-optimized Li4Ir2O9 structure.

Lattice parameters (Å, degrees): 5.145 5.145 13.913 90.00 90.00 60.00
Each line ends with the local moment (μB).
Sites, in units of the cell vectors:
O 0.277 0.000 0.250  0.00
O 0.681 0.301 0.581  -0.11
O 0.699 0.982 0.419  -0.11
O 0.319 0.699 0.419  -0.11
O 0.723 0.277 0.250  0.00
O 0.699 0.319 0.919  0.11
O 0.301 0.681 0.081  0.11
O 0.018 0.681 0.581  -0.11
O 0.319 0.982 0.919  0.11
O 0.000 0.723 0.250  0.00
O 0.018 0.301 0.081  0.11
O 0.000 0.277 0.750  0.00
O 0.982 0.699 0.919  0.11
O 0.723 0.000 0.750  0.00
O 0.277 0.723 0.750  0.00
O 0.301 0.018 0.581  -0.11
O 0.681 0.018 0.081  0.11
O 0.982 0.319 0.419  -0.11
Li 0.667 0.667 0.012  0.01
Li 0.333 0.333 0.988  0.01
Li 0.667 0.667 0.803  0.00
Li 0.667 0.667 0.512  -0.01
Li 0.333 0.333 0.197  0.00
Li 0.333 0.333 0.697  0.00
Li 0.333 0.333 0.488  -0.01
Li 0.667 0.667 0.303  0.00
Ir 0.000 0.000 0.854  0.50
Ir 0.000 0.000 0.146  0.50
Ir 0.000 0.000 0.646  -0.50
Ir 0.000 0.000 0.354  -0.50

Symmetry: No. 165



# 2
## LiIrO2 (PBE)

Data for a geometry-optimized LiIrO2 structure.

Lattice parameters (Å, degrees): 3.723 3.723 3.723 60.00 60.00 60.00
Sites, in units of the cell vectors:
O 0.250 0.250 0.250
O 0.750 0.750 0.750
Ir 0.500 0.500 0.500
Li 0.000 0.000 0.000

Symmetry: No. 225



# 3
## Li5IrO5 (PBE)

Data for a geometry-optimized Li5IrO5 structure.

Lattice parameters (Å, degrees): 3.867 5.298 5.884 106.82 90.00 111.40
Each line ends with the local moment (μB).
Sites, in units of the cell vectors:
O 0.146 0.292 0.824  0.08
O 0.847 0.694 0.680  0.09
O 0.153 0.306 0.320  0.09
O 0.854 0.708 0.176  0.08
O 0.500 0.000 0.000  0.14
Li 0.712 0.424 0.347  0.00
Li 0.000 0.000 0.500  0.01
Li 0.303 0.606 0.141  0.01
Li 0.288 0.576 0.653  0.00
Li 0.697 0.394 0.859  0.01
Ir 0.000 0.000 0.000  0.81

Symmetry: No. 12



# 4
## Li3IrO (PBE)

Data for a geometry-optimized Li3IrO structure.

Lattice parameters (Å, degrees): 3.849 3.849 3.849 90.00 90.00 90.00
Each line ends with the local moment (μB).
Sites, in units of the cell vectors:
Li 0.000 0.000 0.500  0.00
Li 0.000 0.500 0.000  0.00
Li 0.500 0.000 0.000  0.00
Ir 0.500 0.500 0.500  0.93
O 0.000 0.000 0.000  0.16

ΔE to the lowest computed polymorph: 0.0 meV per atom
Symmetry: No. 221



# 5
## Li2IrO (PBE)

Data for a geometry-optimized Li2IrO structure.

Lattice parameters (Å, degrees): 7.361 7.361 5.555 48.51 48.51 90.00
Sites, in units of the cell vectors:
Ir 0.750 0.250 0.500
Ir 0.000 0.000 0.000
Li 0.496 0.125 0.250
Li 0.375 0.504 0.750
Li 0.254 0.625 0.250
Li 0.875 0.746 0.750
O 0.250 0.750 0.500
O 0.500 0.500 0.000

Symmetry: No. 122



# 6
## Li3IrO (PBE)

Data for a geometry-optimized Li3IrO structure.

Lattice parameters (Å, degrees): 4.735 4.735 4.735 90.00 90.00 90.00
Each line ends with the local moment (μB).
Sites, in units of the cell vectors:
Li 0.500 0.000 0.000  -0.01
Li 0.000 0.000 0.500  0.00
Li 0.000 0.500 0.000  -0.01
O 0.500 0.500 0.500  0.93
Ir 0.000 0.000 0.000  0.97

ΔE to the lowest computed polymorph: 1080.5 meV per atom
Symmetry: No. 221



# 7
## LiIr3O8 (PBE)

Data for a geometry-optimized LiIr3O8 structure.

Lattice parameters (Å, degrees): 6.151 6.151 9.318 90.00 90.00 120.00
Each line ends with the local moment (μB).
Sites, in units of the cell vectors:
Ir 0.836 0.672 0.711  0.21
Ir 0.164 0.328 0.211  0.21
Ir 0.672 0.836 0.211  0.21
Ir 0.164 0.836 0.211  0.21
Ir 0.836 0.164 0.711  0.21
Ir 0.328 0.164 0.711  0.21
O 0.680 0.840 0.610  0.06
O 0.048 0.524 0.319  0.10
O 0.667 0.333 0.609  0.04
O 0.524 0.476 0.819  0.10
O 0.840 0.160 0.110  0.06
O 0.160 0.320 0.610  0.06
O 0.160 0.840 0.610  0.06
O 0.952 0.476 0.819  0.10
O 0.000 0.000 0.327  0.02
O 0.524 0.048 0.819  0.10
O 0.476 0.952 0.319  0.10
O 0.333 0.667 0.109  0.04
O 0.000 0.000 0.827  0.02
O 0.476 0.524 0.319  0.10
O 0.840 0.680 0.110  0.06
O 0.320 0.160 0.110  0.06
Li 0.667 0.333 0.001  0.00
Li 0.333 0.667 0.501  0.00

Symmetry: No. 186



# 8
## LiIrO4 (PBE)

Data for a geometry-optimized LiIrO4 structure.

Lattice parameters (Å, degrees): 4.851 5.007 7.222 108.45 107.74 95.16
Sites, in units of the cell vectors:
O 0.250 0.484 0.601
O 0.149 0.883 0.399
O 0.851 0.117 0.601
O 0.750 0.516 0.399
O 0.903 0.742 0.816
O 0.413 0.074 0.816
O 0.097 0.258 0.184
O 0.587 0.926 0.184
Ir 0.927 0.177 0.353
Ir 0.073 0.823 0.647
Li 0.377 0.627 0.253
Li 0.623 0.373 0.747

ΔE to the lowest computed polymorph: 33.8 meV per atom
Symmetry: No. 15



# 9
## Li7IrO6 (PBE)

Data for a geometry-optimized Li7IrO6 structure.

Lattice parameters (Å, degrees): 5.610 5.610 5.781 60.98 60.98 60.00
Each line ends with the local moment (μB).
Sites, in units of the cell vectors:
Li 0.722 0.485 0.674  0.00
Li 0.485 0.119 0.674  0.00
Li 0.233 0.494 0.336  0.00
Li 0.119 0.722 0.674  0.00
Li 0.937 0.233 0.336  0.00
Li 0.494 0.937 0.336  0.00
Li 0.653 0.653 0.042  0.01
Ir 0.999 0.999 0.004  1.11
O 0.638 0.232 0.246  0.11
O 0.075 0.372 0.760  0.12
O 0.372 0.793 0.760  0.12
O 0.884 0.638 0.246  0.11
O 0.793 0.075 0.760  0.12
O 0.232 0.884 0.246  0.11

Symmetry: No. 146



# 10
## Li2IrO3 (PBE)

Data for a geometry-optimized Li2IrO3 structure.

Lattice parameters (Å, degrees): 5.282 5.115 5.115 118.63 101.03 101.03
Each line ends with the local moment (μB).
Sites, in units of the cell vectors:
O 0.497 0.350 0.199  0.06
O 0.003 0.801 0.650  0.06
O 0.500 0.000 0.500  0.16
O 0.503 0.650 0.801  0.06
O 0.997 0.199 0.350  0.06
O 0.000 0.500 0.000  0.16
Li 0.750 0.083 0.917  0.00
Li 0.250 0.246 0.754  0.00
Li 0.750 0.754 0.246  0.00
Li 0.250 0.917 0.083  0.00
Ir 0.750 0.411 0.589  0.58
Ir 0.250 0.589 0.411  0.58

Symmetry: No. 15



# 11
## Li8IrO6 (PBE)

Data for a geometry-optimized Li8IrO6 structure.

Lattice parameters (Å, degrees): 5.952 5.952 5.952 54.72 54.72 54.72
Each line ends with the local moment (μB).
Sites, in units of the cell vectors:
Ir 0.000 0.000 0.000  0.65
O 0.616 0.236 0.910  0.06
O 0.384 0.764 0.090  0.06
O 0.764 0.090 0.384  0.06
O 0.090 0.384 0.764  0.06
O 0.910 0.616 0.236  0.06
O 0.236 0.910 0.616  0.06
Li 0.899 0.234 0.515  0.00
Li 0.659 0.659 0.659  0.00
Li 0.234 0.515 0.899  0.00
Li 0.341 0.341 0.341  0.00
Li 0.485 0.101 0.766  0.00
Li 0.515 0.899 0.234  0.00
Li 0.101 0.766 0.485  0.00
Li 0.766 0.485 0.101  0.00

ΔE to the lowest computed polymorph: 0.0 meV per atom
Symmetry: No. 148



# 12
## LiIr2O6 (PBE)

Data for a geometry-optimized LiIr2O6 structure.

Lattice parameters (Å, degrees): 4.330 8.519 8.519 120.00 90.00 90.00
Sites, in units of the cell vectors:
O 0.245 0.113 0.888
O 0.245 0.775 0.887
O 0.746 0.224 0.782
O 0.254 0.782 0.224
O 0.755 0.225 0.112
O 0.755 0.888 0.113
O 0.251 0.442 0.551
O 0.746 0.218 0.442
O 0.749 0.558 0.109
O 0.749 0.891 0.449
O 0.251 0.109 0.558
O 0.245 0.112 0.225
O 0.746 0.558 0.776
O 0.749 0.551 0.442
O 0.251 0.449 0.891
O 0.755 0.887 0.775
O 0.254 0.776 0.558
O 0.254 0.442 0.218
Li 0.000 0.000 0.000
Li 0.499 0.333 0.667
Li 0.501 0.667 0.333
Ir 0.000 0.662 0.662
Ir 0.000 0.000 0.338
Ir 0.500 0.671 0.000
Ir 0.000 0.338 0.000
Ir 0.500 0.000 0.671
Ir 0.500 0.329 0.329

Symmetry: No. 150



# 13
## LiIrO2 (PBE)

Data for a geometry-optimized LiIrO2 structure.

Lattice parameters (Å, degrees): 4.789 4.789 5.200 62.58 62.58 90.00
Sites, in units of the cell vectors:
O 0.375 0.391 0.750
O 0.609 0.125 0.250
O 0.875 0.859 0.750
O 0.141 0.625 0.250
Ir 0.750 0.250 0.500
Ir 0.000 0.000 0.000
Li 0.500 0.500 0.000
Li 0.250 0.750 0.500

Symmetry: No. 122



# 14
## LiIrOsO6 (PBE)

Data for a geometry-optimized LiIrOsO6 structure.

Lattice parameters (Å, degrees): 5.261 5.261 9.200 90.00 90.00 120.00
Sites, in units of the cell vectors:
Os 0.667 0.333 0.250
Os 0.333 0.667 0.750
Ir 0.667 0.333 0.750
Ir 0.333 0.667 0.250
O 0.632 0.623 0.138
O 0.368 0.377 0.862
O 0.623 0.632 0.638
O 0.991 0.368 0.138
O 0.377 0.009 0.138
O 0.632 0.009 0.362
O 0.368 0.991 0.638
O 0.623 0.991 0.862
O 0.009 0.377 0.638
O 0.991 0.623 0.362
O 0.009 0.632 0.862
O 0.377 0.368 0.362
Li 0.000 0.000 0.000
Li 0.000 0.000 0.500

Symmetry: No. 163



# 15
## LiP2IrO8 (PBE)

Data for a geometry-optimized LiP2IrO8 structure.

Lattice parameters (Å, degrees): 5.437 5.437 5.437 106.76 106.76 115.05
Each line ends with the local moment (μB).
Sites, in units of the cell vectors:
O 0.327 0.145 0.818  0.12
O 0.492 0.673 0.818  0.12
O 0.855 0.673 0.182  0.12
O 0.395 0.079 0.316  0.02
O 0.921 0.605 0.684  0.02
O 0.327 0.508 0.182  0.12
O 0.921 0.238 0.316  0.02
O 0.762 0.079 0.684  0.02
P 0.500 0.500 0.000  0.00
P 0.750 0.250 0.500  0.03
Ir 0.000 0.000 0.000  1.26
Li 0.250 0.750 0.500  0.00

Symmetry: No. 119



# 16
## LiPIrO2 (PBE)

Data for a geometry-optimized LiPIrO2 structure.

Lattice parameters (Å, degrees): 3.490 3.490 4.900 90.00 90.00 90.00
Each line ends with the local moment (μB).
Sites, in units of the cell vectors:
Ir 0.500 0.500 0.500  -0.06
O 0.500 0.000 0.000  0.81
O 0.000 0.500 0.000  0.81
P 0.000 0.000 0.500  -0.01
Li 0.000 0.000 0.000  -0.01

ΔE to the lowest computed polymorph: 781.9 meV per atom
Symmetry: No. 123



# 17
## LiPIrO2 (PBE)

Data for a geometry-optimized LiPIrO2 structure.

Lattice parameters (Å, degrees): 3.783 3.783 5.161 90.00 90.00 90.00
Each line ends with the local moment (μB).
Sites, in units of the cell vectors:
O 0.500 0.000 0.000  0.10
O 0.000 0.500 0.000  0.10
P 0.000 0.000 0.500  0.02
Li 0.500 0.500 0.500  0.00
Ir 0.000 0.000 0.000  0.27

ΔE to the lowest computed polymorph: 0.0 meV per atom
Symmetry: No. 123



# 18
## LiIr2PbO8 (PBE)

Data for a geometry-optimized LiIr2PbO8 structure.

Lattice parameters (Å, degrees): 5.810 5.810 6.483 90.00 90.00 120.00
Each line ends with the local moment (μB).
Sites, in units of the cell vectors:
O 0.391 0.328 0.864  0.02
O 0.672 0.063 0.864  0.02
O 0.333 0.667 0.677  0.23
O 0.937 0.609 0.864  0.02
O 0.328 0.937 0.136  0.02
O 0.063 0.391 0.136  0.02
O 0.609 0.672 0.136  0.02
O 0.667 0.333 0.323  0.23
Li 0.000 0.000 0.500  0.00
Pb 0.000 0.000 0.000  0.01
Ir 0.667 0.333 0.044  0.17
Ir 0.333 0.667 0.956  0.17

Symmetry: No. 147



# 19
## LiIrPbO6 (PBE)

Data for a geometry-optimized LiIrPbO6 structure.

Lattice parameters (Å, degrees): 5.525 5.525 8.705 90.00 90.00 120.00
Sites, in units of the cell vectors:
O 0.380 0.331 0.373
O 0.669 0.620 0.127
O 0.049 0.669 0.873
O 0.380 0.049 0.127
O 0.331 0.951 0.627
O 0.620 0.669 0.627
O 0.669 0.049 0.373
O 0.331 0.380 0.873
O 0.620 0.951 0.873
O 0.951 0.331 0.127
O 0.049 0.380 0.627
O 0.951 0.620 0.373
Ir 0.667 0.333 0.250
Ir 0.333 0.667 0.750
Pb 0.333 0.667 0.250
Pb 0.667 0.333 0.750
Li 0.000 0.000 0.500
Li 0.000 0.000 0.000

Symmetry: No. 163



# 20
## LiIrPbO4 (PBE)

Data for a geometry-optimized LiIrPbO4 structure.

Lattice parameters (Å, degrees): 6.388 6.619 6.970 121.77 90.00 118.85
Sites, in units of the cell vectors:
O 0.747 0.493 0.311
O 0.778 0.065 0.282
O 0.287 0.065 0.282
O 0.253 0.507 0.318
O 0.253 0.507 0.689
O 0.713 0.935 0.718
O 0.747 0.493 0.682
O 0.222 0.935 0.718
Pb 0.500 0.000 0.000
Pb 0.500 0.000 0.500
Li 0.077 0.154 0.827
Li 0.923 0.846 0.173
Ir 0.500 0.500 0.500
Ir 0.000 0.500 0.500

Symmetry: No. 74



| no. | E_form (uncorrected) (meV/atom) |
| --- | --- |
| 1 | -1127 |
| 2 | -481 |
| 3 | -1562 |
| 4 | -403 |
| 5 | -565 |
| 6 | 677 |
| 7 | -731 |
| 8 | -834 |
| 9 | -1607 |
| 10 | -1340 |
| 11 | -1639 |
| 12 | -883 |
| 13 | -749 |
| 14 | -1000 |
| 15 | -1383 |
| 16 | 502 |
| 17 | -279 |
| 18 | -469 |
| 19 | -784 |
| 20 | -1098 |